Entry from the Alexandria database: a geometry-optimized La7In2Rh2 structure (GGA-PBE).

```
data_La7In2Rh2
_chemical_formula_sum 'La7 In2 Rh2'
_space_group_name_H-M_alt 'P 1'
_space_group_IT_number 1
_space_group_name_Hall 'P 1'
_cell_length_a 7.185
_cell_length_b 7.330
_cell_length_c 7.185
_cell_angle_alpha 90.00
_cell_angle_beta 108.42
_cell_angle_gamma 90.00
loop_
_atom_site_label
_atom_site_type_symbol
_atom_site_fract_x
_atom_site_fract_y
_atom_site_fract_z
La1 La 0.500 0.254 0.000
In1 In 0.831 0.500 0.831
La2 La 0.500 0.755 0.500
La3 La 0.000 0.000 0.000
In2 In 0.169 0.500 0.169
La4 La 0.000 0.746 0.500
La5 La 0.500 0.245 0.500
La6 La 0.000 0.254 0.500
Rh1 Rh 0.288 0.000 0.712
Rh2 Rh 0.712 0.000 0.288
La7 La 0.500 0.746 0.000
```

Properties
- uncorrected energy (eV per atom) = -5.398
- crystal system = orthorhombic
- mass density (g/cm³) = 6.510
- total magnetic moment (μB per formula unit) = 0.001



Entry from the Alexandria database: a geometry-optimized LaIn4Rh2 structure (GGA-PBE).

```
data_LaIn4Rh2
_chemical_formula_sum 'La4 In16 Rh8'
_space_group_name_H-M_alt 'P 1'
_space_group_IT_number 1
_space_group_name_Hall 'P 1'
_cell_length_a 4.595
_cell_length_b 7.245
_cell_length_c 18.557
_cell_angle_alpha 90.00
_cell_angle_beta 90.00
_cell_angle_gamma 90.00
loop_
_atom_site_label
_atom_site_type_symbol
_atom_site_fract_x
_atom_site_fract_y
_atom_site_fract_z
La1 La 0.750 0.532 0.140
Rh1 Rh 0.250 0.755 0.540
Rh2 Rh 0.750 0.245 0.460
In1 In 0.750 0.168 0.814
In2 In 0.750 0.739 0.307
In3 In 0.250 0.668 0.686
Rh3 Rh 0.250 0.538 0.283
In4 In 0.750 0.848 0.466
In5 In 0.250 0.501 0.430
La2 La 0.750 0.968 0.640
In6 In 0.250 0.239 0.193
Rh4 Rh 0.250 0.962 0.783
In7 In 0.250 0.348 0.034
In8 In 0.250 0.261 0.693
Rh5 Rh 0.750 0.038 0.217
In9 In 0.250 0.152 0.534
La3 La 0.250 0.468 0.860
In10 In 0.250 0.999 0.930
In11 In 0.750 0.761 0.807
In12 In 0.750 0.001 0.070
Rh6 Rh 0.750 0.462 0.717
Rh7 Rh 0.750 0.255 0.960
In13 In 0.750 0.332 0.314
In14 In 0.750 0.652 0.966
In15 In 0.750 0.499 0.570
In16 In 0.250 0.832 0.186
Rh8 Rh 0.250 0.745 0.040
La4 La 0.250 0.032 0.360
```

Properties
- uncorrected energy (eV per atom) = -4.871
- crystal system = orthorhombic
- mass density (g/cm³) = 8.644
- total magnetic moment (μB per formula unit) = 0.000



Entry from the Alexandria database: a geometry-optimized La2InRh2 structure (GGA-PBE).

```
data_La2InRh2
_chemical_formula_sum 'La4 In2 Rh4'
_space_group_name_H-M_alt 'P 1'
_space_group_IT_number 1
_space_group_name_Hall 'P 1'
_cell_length_a 7.711
_cell_length_b 7.711
_cell_length_c 3.980
_cell_angle_alpha 90.00
_cell_angle_beta 90.00
_cell_angle_gamma 90.00
loop_
_atom_site_label
_atom_site_type_symbol
_atom_site_fract_x
_atom_site_fract_y
_atom_site_fract_z
La1 La 0.330 0.170 0.500
La2 La 0.670 0.830 0.500
Rh1 Rh 0.364 0.864 0.000
La3 La 0.830 0.330 0.500
La4 La 0.170 0.670 0.500
Rh2 Rh 0.864 0.636 0.000
Rh3 Rh 0.636 0.136 0.000
Rh4 Rh 0.136 0.364 0.000
In1 In 0.500 0.500 0.000
In2 In 0.000 0.000 0.000
```

Properties
- uncorrected energy (eV per atom) = -6.197
- crystal system = tetragonal
- mass density (g/cm³) = 8.399
- total magnetic moment (μB per formula unit) = 0.000



Entry from the Alexandria database: a geometry-optimized LaIn5Rh2 structure (GGA-PBE).

```
data_LaIn5Rh2
_chemical_formula_sum 'La1 In5 Rh2'
_space_group_name_H-M_alt 'P 1'
_space_group_IT_number 1
_space_group_name_Hall 'P 1'
_cell_length_a 4.239
_cell_length_b 7.010
_cell_length_c 7.010
_cell_angle_alpha 71.48
_cell_angle_beta 72.40
_cell_angle_gamma 72.40
loop_
_atom_site_label
_atom_site_type_symbol
_atom_site_fract_x
_atom_site_fract_y
_atom_site_fract_z
In1 In 0.653 0.541 0.152
In2 In 0.000 0.500 0.500
La1 La 0.000 0.000 0.000
In3 In 0.347 0.459 0.848
In4 In 0.653 0.152 0.541
Rh1 Rh 0.748 0.752 0.752
Rh2 Rh 0.252 0.248 0.248
In5 In 0.347 0.848 0.459
```

Properties
- uncorrected energy (eV per atom) = -4.597
- crystal system = orthorhombic
- mass density (g/cm³) = 8.323
- total magnetic moment (μB per formula unit) = 0.000



Entry from the Alexandria database: a geometry-optimized La6In2Rh structure (GGA-PBE).

```
data_La6In2Rh
_chemical_formula_sum 'La6 In2 Rh1'
_space_group_name_H-M_alt 'P 1'
_space_group_IT_number 1
_space_group_name_Hall 'P 1'
_cell_length_a 3.920
_cell_length_b 9.118
_cell_length_c 9.118
_cell_angle_alpha 120.00
_cell_angle_beta 90.00
_cell_angle_gamma 90.00
loop_
_atom_site_label
_atom_site_type_symbol
_atom_site_fract_x
_atom_site_fract_y
_atom_site_fract_z
La1 La 0.000 0.760 0.760
Rh1 Rh 0.500 0.000 0.000
La2 La 0.500 0.000 0.600
La3 La 0.000 0.000 0.240
La4 La 0.500 0.600 0.000
In1 In 0.000 0.667 0.333
La5 La 0.500 0.400 0.400
La6 La 0.000 0.240 0.000
In2 In 0.000 0.333 0.667
```

Properties
- uncorrected energy (eV per atom) = -5.150
- crystal system = hexagonal
- mass density (g/cm³) = 6.861
- total magnetic moment (μB per formula unit) = 0.000



Entry from the Alexandria database: a geometry-optimized La2InRh2 structure (GGA-PBE).

```
data_La2InRh2
_chemical_formula_sum 'La2 In1 Rh2'
_space_group_name_H-M_alt 'P 1'
_space_group_IT_number 1
_space_group_name_Hall 'P 1'
_cell_length_a 5.632
_cell_length_b 5.632
_cell_length_c 5.710
_cell_angle_alpha 60.45
_cell_angle_beta 60.45
_cell_angle_gamma 90.00
loop_
_atom_site_label
_atom_site_type_symbol
_atom_site_fract_x
_atom_site_fract_y
_atom_site_fract_z
Rh1 Rh 0.672 0.672 0.656
La1 La 0.250 0.750 0.500
In1 In 0.000 0.000 0.000
Rh2 Rh 0.328 0.328 0.344
La2 La 0.750 0.250 0.500
```

Properties
- uncorrected energy (eV per atom) = -6.040
- crystal system = tetragonal
- mass density (g/cm³) = 7.655
- total magnetic moment (μB per formula unit) = 0.000